The following is a DFT calculation (GGA-PBE) of V2TcMoH after structural relaxation.

a = 4.264 Å, b = 4.264 Å, c = 3.315 Å
α = 90.00°, β = 90.00°, γ = 90.00°
Sites, in units of the cell vectors:
V 0.500 0.000 0.000
V 0.000 0.500 0.000
Mo 0.000 0.000 0.500
Tc 0.500 0.500 0.500
H 0.000 0.000 0.000

Properties
Magnetization (μB/f.u.): 0.00
Theoretical density (g cm⁻³): 8.2
Final energy (eV per atom): -8.562


The following is a DFT calculation (GGA-PBE) of ZnTcMo2H after structural relaxation.

a = 3.965 Å, b = 3.965 Å, c = 3.981 Å
α = 90.00°, β = 90.00°, γ = 90.00°
Sites, in units of the cell vectors:
Mo 0.000 0.500 0.000
Mo 0.500 0.000 0.000
Zn 0.500 0.500 0.500
Tc 0.000 0.000 0.500
H 0.000 0.000 0.000

Properties
Magnetization (μB/f.u.): 0.00
Theoretical density (g cm⁻³): 9.5
Final energy (eV per atom): -7.160


The following is a DFT calculation (GGA-PBE) of ZnTc2MoH after structural relaxation.

a = 3.951 Å, b = 3.951 Å, c = 3.929 Å
α = 90.00°, β = 90.00°, γ = 90.00°
Sites, in units of the cell vectors:
Tc 0.500 0.000 0.000
Tc 0.000 0.500 0.000
Zn 0.500 0.500 0.500
Mo 0.000 0.000 0.500
H 0.000 0.000 0.000

Properties
Magnetization (μB/f.u.): 0.00
Theoretical density (g cm⁻³): 9.7
Final energy (eV per atom): -7.056